1.
This record from the Alexandria database describes a relaxed structure of Ac2LaBe2O6. The functional is PBE.

Structure (CIF):
```
data_Ac2LaBe2O6
_symmetry_space_group_name_H-M 'P 1'
_symmetry_Int_Tables_number 1
_cell_length_a 5.6669
_cell_length_b 5.6669
_cell_length_c 6.4158
_cell_angle_alpha 90.00
_cell_angle_beta 90.00
_cell_angle_gamma 120.00
loop_
_symmetry_equiv_pos_as_xyz
'x,y,z'
loop_
_atom_site_label
_atom_site_fract_x
_atom_site_fract_y
_atom_site_fract_z
_atom_site_occupancy
Ac1 0.3333 0.6667 0.3421 1
Ac2 0.6667 0.3333 0.6579 1
La1 0.0000 0.0000 0.0000 1
Be1 0.3333 0.6667 0.7966 1
Be2 0.6667 0.3333 0.2034 1
O1 0.1010 0.7318 0.7465 1
O2 0.2682 0.3692 0.7465 1
O3 0.3692 0.1010 0.2535 1
O4 0.6308 0.8990 0.7465 1
O5 0.7318 0.6308 0.2535 1
O6 0.8990 0.2682 0.2535 1
```

Summary:
raw formation energy	-2762.2	meV per atom
mass density	6.6	g/cm³



2.
This record from the Alexandria database describes a relaxed structure of KInBr2Cl. The functional is PBE.

Structure (CIF):
```
data_KInBr2Cl
_symmetry_space_group_name_H-M 'P 1'
_symmetry_Int_Tables_number 1
_cell_length_a 6.6079
_cell_length_b 6.6079
_cell_length_c 4.9896
_cell_angle_alpha 90.00
_cell_angle_beta 90.00
_cell_angle_gamma 90.00
loop_
_symmetry_equiv_pos_as_xyz
'x,y,z'
loop_
_atom_site_label
_atom_site_fract_x
_atom_site_fract_y
_atom_site_fract_z
_atom_site_occupancy
K1 0.0000 0.0000 0.0000 1
In1 0.5000 0.5000 0.0000 1
Br1 0.0000 0.5000 0.5000 1
Br2 0.5000 0.0000 0.5000 1
Cl1 0.5000 0.5000 0.5000 1
```

Summary:
energy above the most stable polymorph in this dataset	570	meV/atom
raw formation energy	-608.8	meV per atom
mass density	2.7	g/cm³



3.
This record from the Alexandria database describes a relaxed structure of AgHg2Pt. The functional is PBE.

Structure (CIF):
```
data_AgHg2Pt
_symmetry_space_group_name_H-M 'P 1'
_symmetry_Int_Tables_number 1
_cell_length_a 3.0214
_cell_length_b 3.0214
_cell_length_c 8.6398
_cell_angle_alpha 90.00
_cell_angle_beta 90.00
_cell_angle_gamma 90.00
loop_
_symmetry_equiv_pos_as_xyz
'x,y,z'
loop_
_atom_site_label
_atom_site_fract_x
_atom_site_fract_y
_atom_site_fract_z
_atom_site_occupancy
Ag1 0.0000 0.0000 0.0000 1
Hg1 0.0000 0.0000 0.5514 1
Hg2 0.5000 0.5000 0.2530 1
Pt1 0.5000 0.5000 0.7791 1
```

Summary:
energy above the most stable polymorph in this dataset	36	meV/atom
energy of formation from the pure elements	99	meV per atom
mass density	14.8	g/cm³



| no. | total magnetization (μB per cell) |
| --- | --- |
| 1 | 0.8 |
| 2 | 0.0 |
| 3 | 0.0 |